A:
A relaxed BaHoTl crystal. Source: Alexandria, functional PBE.

a b c (Å): 4.017 4.017 7.500
angles (deg): 105.53 105.53 90.00
Fractional positions:
Tl  0.693  0.693  0.386
Ho  0.294  0.294  0.587
Ba  0.014  0.014  0.027

Total magnetic moment in μB/atom: 0.00

=====

B:
A relaxed BaHoTl crystal. Source: Alexandria, functional PBE.

a b c (Å): 5.255 5.253 8.269
angles (deg): 90.01 90.02 90.01
Fractional positions:
Ba  0.813  0.866  0.559
Ba  0.314  0.367  0.280
Ho  0.814  0.366  0.920
Ho  0.314  0.866  0.920
Tl  0.814  0.867  0.133
Tl  0.313  0.366  0.706

Total magnetic moment in μB/atom: 0.00

=====

C:
A relaxed BaHoTl crystal. Source: Alexandria, functional PBE.

a b c (Å): 4.139 5.535 5.535
angles (deg): 120.00 90.00 90.00
Fractional positions:
Tl  0.167  0.000  0.000
Ho  0.166  0.667  0.333
Ba  0.667  0.333  0.667

Total magnetic moment in μB/atom: 0.00

=====

Computed relative energies in units of meV/atom: A 146; B 0; C 203